Model one:
A geometry-optimized ReIr2Pd structure. Source: Alexandria, functional PBE-GGA.

```
data_ReIr2Pd
_symmetry_space_group_name_H-M 'R -3 m'
_symmetry_Int_Tables_number 166
_symmetry_space_group_name_Hall '-R 3 2"'
_cell_length_a 2.7504
_cell_length_b 2.7504
_cell_length_c 27.1076
_cell_angle_alpha 90.00
_cell_angle_beta 90.00
_cell_angle_gamma 120.00
loop_
_atom_site_label
_atom_site_type_symbol
_atom_site_fract_x
_atom_site_fract_y
_atom_site_fract_z
Re1 Re 0.0000 0.0000 0.0000
Ir1 Ir 0.0000 0.0000 0.2529
Pd1 Pd 0.0000 0.0000 0.5000
```

Model two:
A geometry-optimized ReIr2Pd structure. Source: Alexandria, functional PBE-GGA.

```
data_ReIr2Pd
_symmetry_space_group_name_H-M 'P 4/m m m'
_symmetry_Int_Tables_number 123
_symmetry_space_group_name_Hall '-P 4 2'
_cell_length_a 2.755
_cell_length_b 2.755
_cell_length_c 7.822
_cell_angle_alpha 90.00
_cell_angle_beta 90.00
_cell_angle_gamma 90.00
loop_
_atom_site_label
_atom_site_type_symbol
_atom_site_fract_x
_atom_site_fract_y
_atom_site_fract_z
Re1 Re 0.000 0.000 0.000
Ir1 Ir 0.500 0.500 0.237
Pd1 Pd 0.000 0.000 0.500
```

It is model two that is most stable; the runner-up trails by 16 meV/atom.

Model one:
A geometry-optimized ReIr2Pd structure. Source: Alexandria, functional PBE-GGA.

```
data_ReIr2Pd
_symmetry_space_group_name_H-M 'I -4 2 d'
_symmetry_Int_Tables_number 122
_symmetry_space_group_name_Hall 'I -4 2bw'
_cell_length_a 7.096
_cell_length_b 7.096
_cell_length_c 5.362
_cell_angle_alpha 90.00
_cell_angle_beta 90.00
_cell_angle_gamma 90.00
loop_
_atom_site_label
_atom_site_type_symbol
_atom_site_fract_x
_atom_site_fract_y
_atom_site_fract_z
Re1 Re 0.000 0.000 0.000
Ir1 Ir 0.213 0.250 0.125
Pd1 Pd 0.000 0.000 0.500
```

Model two:
A geometry-optimized ReIr2Pd structure. Source: Alexandria, functional PBE-GGA.

```
data_ReIr2Pd
_symmetry_space_group_name_H-M 'F m -3 m'
_symmetry_Int_Tables_number 225
_symmetry_space_group_name_Hall '-F 4 2 3'
_cell_length_a 6.228
_cell_length_b 6.228
_cell_length_c 6.228
_cell_angle_alpha 90.00
_cell_angle_beta 90.00
_cell_angle_gamma 90.00
loop_
_atom_site_label
_atom_site_type_symbol
_atom_site_fract_x
_atom_site_fract_y
_atom_site_fract_z
Re1 Re 0.000 0.000 0.000
Ir1 Ir 0.250 0.250 0.250
Pd1 Pd 0.000 0.000 0.500
```

It is model two that is most stable; the runner-up trails by 139 meV/atom.

Model one:
A geometry-optimized Re2IrPd structure. Source: Alexandria, functional PBE-GGA.

```
data_Re2IrPd
_symmetry_space_group_name_H-M 'F m -3 m'
_symmetry_Int_Tables_number 225
_symmetry_space_group_name_Hall '-F 4 2 3'
_cell_length_a 6.236
_cell_length_b 6.236
_cell_length_c 6.236
_cell_angle_alpha 90.00
_cell_angle_beta 90.00
_cell_angle_gamma 90.00
loop_
_atom_site_label
_atom_site_type_symbol
_atom_site_fract_x
_atom_site_fract_y
_atom_site_fract_z
Re1 Re 0.250 0.250 0.250
Ir1 Ir 0.000 0.000 0.000
Pd1 Pd 0.000 0.000 0.500
```

Model two:
A geometry-optimized Re2IrPd structure. Source: Alexandria, functional PBE-GGA.

```
data_Re2IrPd
_symmetry_space_group_name_H-M 'I -4 2 d'
_symmetry_Int_Tables_number 122
_symmetry_space_group_name_Hall 'I -4 2bw'
_cell_length_a 7.128
_cell_length_b 7.128
_cell_length_c 5.268
_cell_angle_alpha 90.00
_cell_angle_beta 90.00
_cell_angle_gamma 90.00
loop_
_atom_site_label
_atom_site_type_symbol
_atom_site_fract_x
_atom_site_fract_y
_atom_site_fract_z
Re1 Re 0.220 0.250 0.125
Ir1 Ir 0.000 0.000 0.000
Pd1 Pd 0.000 0.000 0.500
```

It is model one that is most stable; the runner-up trails by 191 meV/atom.

Model one:
A geometry-optimized ReIrPd2 structure. Source: Alexandria, functional PBE-GGA.

```
data_ReIrPd2
_symmetry_space_group_name_H-M 'I -4 2 d'
_symmetry_Int_Tables_number 122
_symmetry_space_group_name_Hall 'I -4 2bw'
_cell_length_a 7.118
_cell_length_b 7.118
_cell_length_c 5.207
_cell_angle_alpha 90.00
_cell_angle_beta 90.00
_cell_angle_gamma 90.00
loop_
_atom_site_label
_atom_site_type_symbol
_atom_site_fract_x
_atom_site_fract_y
_atom_site_fract_z
Re1 Re 0.000 0.000 0.000
Ir1 Ir 0.000 0.000 0.500
Pd1 Pd 0.236 0.250 0.125
```

Model two:
A geometry-optimized ReIrPd2 structure. Source: Alexandria, functional PBE-GGA.

```
data_ReIrPd2
_symmetry_space_group_name_H-M 'F m -3 m'
_symmetry_Int_Tables_number 225
_symmetry_space_group_name_Hall '-F 4 2 3'
_cell_length_a 6.222
_cell_length_b 6.222
_cell_length_c 6.222
_cell_angle_alpha 90.00
_cell_angle_beta 90.00
_cell_angle_gamma 90.00
loop_
_atom_site_label
_atom_site_type_symbol
_atom_site_fract_x
_atom_site_fract_y
_atom_site_fract_z
Re1 Re 0.000 0.000 0.000
Ir1 Ir 0.000 0.000 0.500
Pd1 Pd 0.250 0.250 0.250
```

It is model two that is most stable; the runner-up trails by 342 meV/atom.

Model one:
A geometry-optimized Re2Ir2Pd structure. Source: Alexandria, functional PBE-GGA.

```
data_Re2Ir2Pd
_symmetry_space_group_name_H-M 'P 4/m b m'
_symmetry_Int_Tables_number 127
_symmetry_space_group_name_Hall '-P 4 2ab'
_cell_length_a 7.630
_cell_length_b 7.630
_cell_length_c 2.727
_cell_angle_alpha 90.00
_cell_angle_beta 90.00
_cell_angle_gamma 90.00
loop_
_atom_site_label
_atom_site_type_symbol
_atom_site_fract_x
_atom_site_fract_y
_atom_site_fract_z
Re1 Re 0.123 0.377 0.000
Ir1 Ir 0.167 0.667 0.500
Pd1 Pd 0.000 0.000 0.000
```

Model two:
A geometry-optimized Re2Ir2Pd structure. Source: Alexandria, functional PBE-GGA.

```
data_Re2Ir2Pd
_symmetry_space_group_name_H-M 'P 4/m b m'
_symmetry_Int_Tables_number 127
_symmetry_space_group_name_Hall '-P 4 2ab'
_cell_length_a 7.595
_cell_length_b 7.595
_cell_length_c 2.725
_cell_angle_alpha 90.00
_cell_angle_beta 90.00
_cell_angle_gamma 90.00
loop_
_atom_site_label
_atom_site_type_symbol
_atom_site_fract_x
_atom_site_fract_y
_atom_site_fract_z
Re1 Re 0.170 0.330 0.000
Ir1 Ir 0.125 0.625 0.500
Pd1 Pd 0.000 0.000 0.500
```

It is model two that is most stable; the runner-up trails by 22 meV/atom.

Model one:
A geometry-optimized IrPdRh6 structure. Source: Alexandria, functional PBE-GGA.

```
data_IrPdRh6
_symmetry_space_group_name_H-M 'P 4/m m m'
_symmetry_Int_Tables_number 123
_symmetry_space_group_name_Hall '-P 4 2'
_cell_length_a 3.853
_cell_length_b 3.853
_cell_length_c 7.730
_cell_angle_alpha 90.00
_cell_angle_beta 90.00
_cell_angle_gamma 90.00
loop_
_atom_site_label
_atom_site_type_symbol
_atom_site_fract_x
_atom_site_fract_y
_atom_site_fract_z
Ir1 Ir 0.000 0.000 0.000
Pd1 Pd 0.000 0.000 0.500
Rh1 Rh 0.000 0.500 0.245
Rh2 Rh 0.500 0.500 0.000
Rh3 Rh 0.500 0.500 0.500
```

Model two:
A geometry-optimized IrPdRh6 structure. Source: Alexandria, functional PBE-GGA.

```
data_IrPdRh6
_symmetry_space_group_name_H-M 'C 1 2/m 1'
_symmetry_Int_Tables_number 12
_symmetry_space_group_name_Hall '-C 2y'
_cell_length_a 8.623
_cell_length_b 3.848
_cell_length_c 7.732
_cell_angle_alpha 90.00
_cell_angle_beta 116.54
_cell_angle_gamma 90.00
loop_
_atom_site_label
_atom_site_type_symbol
_atom_site_fract_x
_atom_site_fract_y
_atom_site_fract_z
Ir1 Ir 0.000 0.000 0.000
Pd1 Pd 0.000 0.000 0.500
Rh1 Rh 0.002 0.500 0.245
Rh2 Rh 0.249 0.500 0.122
Rh3 Rh 0.250 0.000 0.373
```

It is model one that is most stable; the runner-up trails by 10 meV/atom.